Computed, not measured: crystalline SiAgP2 at its relaxed geometry at the PBE level of DFT.

Magnetic moment = 0.0 μB per formula unit
E_tot = -36.121 eV per cell
Raw formation energy = 0.26 eV per atom
Density of states at the Fermi level = 2.46 states/eV per cell

Cell: 7.139 7.133 2.609 Å, 90.00 90.86 90.00°
Atoms (fractional coordinates):
Si 0.000 0.000 0.000
Si 0.500 0.500 0.000
Ag 0.000 0.500 0.000
Ag 0.500 0.000 0.000
P 0.250 0.250 0.000
P 0.250 0.750 0.000
P 0.750 0.250 0.000
P 0.750 0.750 0.000



Computed, not measured: crystalline Rb2Bi2Sb2Pb5 at its relaxed geometry at the PBE level of DFT.

Magnetic moment = 0.0 μB per formula unit
E_tot = -36.181 eV per cell
Raw formation energy = 0.03 eV per atom
Density of states at the Fermi level = 5.45 states/eV per cell

Cell: 18.611 18.611 18.611 Å, 163.35 163.35 23.63°
Atoms (fractional coordinates):
Rb 0.211 0.211 0.000
Rb 0.789 0.789 0.000
Bi 0.318 0.318 0.000
Bi 0.682 0.682 0.000
Sb 0.082 0.082 0.000
Sb 0.918 0.918 0.000
Pb 0.000 0.000 0.000
Pb 0.128 0.628 0.500
Pb 0.372 0.872 0.500
Pb 0.628 0.128 0.500
Pb 0.872 0.372 0.500



Computed, not measured: crystalline Ag2Sn2Br2Cl5 at its relaxed geometry at the PBE level of DFT.

Magnetic moment = 0.0 μB per formula unit
E_tot = -33.057 eV per cell
Raw formation energy = -0.62 eV per atom
Density of states at the Fermi level = 2.43 states/eV per cell

Cell: 12.303 12.303 12.303 Å, 154.07 154.07 37.00°
Atoms (fractional coordinates):
Ag 0.156 0.156 0.000
Ag 0.844 0.844 0.000
Sn 0.386 0.386 0.000
Sn 0.614 0.614 0.000
Br 0.269 0.269 0.000
Br 0.731 0.731 0.000
Cl 0.118 0.618 0.500
Cl 0.382 0.882 0.500
Cl 0.500 0.500 0.000
Cl 0.618 0.118 0.500
Cl 0.882 0.382 0.500